# 1
# Y3ScGe PBE relaxed
data_Y3ScGe
_symmetry_space_group_name_H-M 'P m -3 m'
_symmetry_Int_Tables_number 221
_symmetry_space_group_name_Hall '-P 4 2 3'
_cell_length_a 5.383
_cell_length_b 5.383
_cell_length_c 5.383
_cell_angle_alpha 90.00
_cell_angle_beta 90.00
_cell_angle_gamma 90.00
loop_
_atom_site_label
_atom_site_type_symbol
_atom_site_fract_x
_atom_site_fract_y
_atom_site_fract_z
Y1 Y 0.000 0.000 0.500
Sc1 Sc 0.000 0.000 0.000
Ge1 Ge 0.500 0.500 0.500
# Distance to the lowest polymorph of the same formula: 354 kJ/mol of formula units

=====

# 2
# Y3ScGe PBE relaxed
data_Y3ScGe
_symmetry_space_group_name_H-M 'P m -3 m'
_symmetry_Int_Tables_number 221
_symmetry_space_group_name_Hall '-P 4 2 3'
_cell_length_a 5.484
_cell_length_b 5.484
_cell_length_c 5.484
_cell_angle_alpha 90.00
_cell_angle_beta 90.00
_cell_angle_gamma 90.00
loop_
_atom_site_label
_atom_site_type_symbol
_atom_site_fract_x
_atom_site_fract_y
_atom_site_fract_z
Y1 Y 0.000 0.000 0.500
Sc1 Sc 0.500 0.500 0.500
Ge1 Ge 0.000 0.000 0.000
# Distance to the lowest polymorph of the same formula: 0 kJ/mol of formula units

=====

# 3
# YScGe PBE relaxed
data_YScGe
_symmetry_space_group_name_H-M 'F -4 3 m'
_symmetry_Int_Tables_number 216
_symmetry_space_group_name_Hall 'F -4 2 3'
_cell_length_a 6.708
_cell_length_b 6.708
_cell_length_c 6.708
_cell_angle_alpha 90.00
_cell_angle_beta 90.00
_cell_angle_gamma 90.00
loop_
_atom_site_label
_atom_site_type_symbol
_atom_site_fract_x
_atom_site_fract_y
_atom_site_fract_z
Y1 Y 0.000 0.000 0.000
Sc1 Sc 0.000 0.000 0.500
Ge1 Ge 0.250 0.250 0.750
# Distance to the lowest polymorph of the same formula: 50 kJ/mol of formula units

=====

# 4
# YSc2Ge2 PBE relaxed
data_YSc2Ge2
_symmetry_space_group_name_H-M 'P 4/m b m'
_symmetry_Int_Tables_number 127
_symmetry_space_group_name_Hall '-P 4 2ab'
_cell_length_a 7.486
_cell_length_b 7.486
_cell_length_c 3.857
_cell_angle_alpha 90.00
_cell_angle_beta 90.00
_cell_angle_gamma 90.00
loop_
_atom_site_label
_atom_site_type_symbol
_atom_site_fract_x
_atom_site_fract_y
_atom_site_fract_z
Y1 Y 0.000 0.000 0.000
Sc1 Sc 0.169 0.331 0.500
Ge1 Ge 0.128 0.628 0.000
# Distance to the lowest polymorph of the same formula: 0 kJ/mol of formula units

=====

# 5
# Y2ScGe2 PBE relaxed
data_Y2ScGe2
_symmetry_space_group_name_H-M 'P 4/m b m'
_symmetry_Int_Tables_number 127
_symmetry_space_group_name_Hall '-P 4 2ab'
_cell_length_a 7.352
_cell_length_b 7.352
_cell_length_c 4.268
_cell_angle_alpha 90.00
_cell_angle_beta 90.00
_cell_angle_gamma 90.00
loop_
_atom_site_label
_atom_site_type_symbol
_atom_site_fract_x
_atom_site_fract_y
_atom_site_fract_z
Y1 Y 0.173 0.327 0.000
Sc1 Sc 0.000 0.000 0.500
Ge1 Ge 0.129 0.629 0.500
# Distance to the lowest polymorph of the same formula: 0 kJ/mol of formula units

=====

# 6
# YScGe PBE relaxed
data_YScGe
_symmetry_space_group_name_H-M 'P -6 2 m'
_symmetry_Int_Tables_number 189
_symmetry_space_group_name_Hall 'P -6 -2'
_cell_length_a 7.5980
_cell_length_b 7.5980
_cell_length_c 4.1730
_cell_angle_alpha 90.00
_cell_angle_beta 90.00
_cell_angle_gamma 120.00
loop_
_atom_site_label
_atom_site_type_symbol
_atom_site_fract_x
_atom_site_fract_y
_atom_site_fract_z
Y1 Y 0.0000 0.5902 0.0000
Sc1 Sc 0.0000 0.2494 0.5000
Ge1 Ge 0.0000 0.0000 0.0000
Ge2 Ge 0.3333 0.6667 0.5000
# Distance to the lowest polymorph of the same formula: 0 kJ/mol of formula units

=====

# 7
YSc3Ge2 | PBE | relaxed

CIF file:
```
data_YSc3Ge2
_symmetry_space_group_name_H-M 'C 1 2/m 1'
_symmetry_Int_Tables_number 12
_cell_length_a 16.388
_cell_length_b 4.180
_cell_length_c 8.560
_cell_angle_alpha 90.00
_cell_angle_beta 113.25
_cell_angle_gamma 90.00
loop_
_symmetry_equiv_pos_as_xyz
'x,y,z'
'-x,-y,-z'
'-x,y,-z'
'x,-y,z'
'x+1/2,y+1/2,z'
'-x+1/2,-y+1/2,-z'
'-x+1/2,y+1/2,-z'
'x+1/2,-y+1/2,z'
loop_
_atom_site_label
_atom_site_type_symbol
_atom_site_fract_x
_atom_site_fract_y
_atom_site_fract_z
Y1 Y 0.115 0.000 0.139
Sc1 Sc 0.056 0.000 0.694
Sc2 Sc 0.150 0.500 0.487
Sc3 Sc 0.191 0.500 0.891
Ge1 Ge 0.011 0.500 0.852
Ge2 Ge 0.238 0.000 0.716
```

=====

# 8
YScGe3 | PBE | relaxed

CIF file:
```
data_YScGe3
_symmetry_space_group_name_H-M 'P m -3 m'
_symmetry_Int_Tables_number 221
_symmetry_space_group_name_Hall '-P 4 2 3'
_cell_length_a 5.246
_cell_length_b 5.246
_cell_length_c 5.246
_cell_angle_alpha 90.00
_cell_angle_beta 90.00
_cell_angle_gamma 90.00
loop_
_atom_site_label
_atom_site_type_symbol
_atom_site_fract_x
_atom_site_fract_y
_atom_site_fract_z
Y1 Y 0.000 0.000 0.000
Sc1 Sc 0.500 0.500 0.500
Ge1 Ge 0.000 0.000 0.500
```

=====

| no. | formation energy (eV/atom) | ρ (kg/m³) |
| --- | --- | --- |
| 1 | 0.7384 | 4092 |
| 2 | 0.0055 | 3869 |
| 3 | -0.5537 | 4543 |
| 4 | -0.6997 | 4979 |
| 5 | -0.8454 | 5299 |
| 6 | -0.7275 | 4931 |
| 7 | -0.6233 | 4550 |
| 8 | 0.5134 | 4046 |